The following is a DFT calculation (PBE) of an optimized crystal structure of NaSiC2.

Its theoretical density is 2.2 Mg/m³. The size of the total moment comes out at 0.00 μB/f.u. As for the space-group type: I4_1/amd. The crystal system is tetragonal. Its formation energy from raw total energies is 0.855 eV per atom.

Cell: 4.4328 4.4328 11.3341 Å, 90.00 90.00 90.00°
Element x y z (fractional)
Na: 0.0000 0.2500 0.3750
Na: 0.0000 0.7500 0.6250
Na: 0.5000 0.2500 0.1250
Na: 0.5000 0.7500 0.8750
Si: 0.0000 0.2500 0.8750
Si: 0.0000 0.7500 0.1250
Si: 0.5000 0.2500 0.6250
Si: 0.5000 0.7500 0.3750
C: 0.0000 0.0000 0.0000
C: 0.0000 0.5000 0.0000
C: 0.2500 0.2500 0.7500
C: 0.2500 0.7500 0.2500
C: 0.5000 0.0000 0.5000
C: 0.5000 0.5000 0.5000
C: 0.7500 0.2500 0.7500
C: 0.7500 0.7500 0.2500


The following is a DFT calculation (PBE) of an optimized crystal structure of NaSiC.

Its theoretical density is 2.3 Mg/m³. The size of the total moment comes out at 0.00 μB/f.u. As for the space-group type: P2_1/c. The crystal system is monoclinic. Its formation energy from raw total energies is 0.234 eV per atom.

Cell: 5.8924 5.9117 6.0321 Å, 90.00 118.95 90.00°
Element x y z (fractional)
Na: 0.1561 0.1290 0.3929
Na: 0.1561 0.3710 0.8929
Na: 0.8439 0.6290 0.1071
Na: 0.8439 0.8710 0.6071
Si: 0.3703 0.6159 0.5839
Si: 0.3703 0.8841 0.0839
Si: 0.6297 0.1159 0.9161
Si: 0.6297 0.3841 0.4161
C: 0.4184 0.6462 0.2998
C: 0.4184 0.8538 0.7998
C: 0.5816 0.1462 0.2002
C: 0.5816 0.3538 0.7002


The following is a DFT calculation (PBE) of an optimized crystal structure of NaSiC3.

Its theoretical density is 1.8 Mg/m³. The size of the total moment comes out at 0.00 μB/f.u. As for the space-group type: Pm-3m. The crystal system is cubic. Its formation energy from raw total energies is 3.821 eV per atom.

Cell: 4.3072 4.3072 4.3072 Å, 90.00 90.00 90.00°
Element x y z (fractional)
Na: 0.0000 0.0000 0.0000
Si: 0.5000 0.5000 0.5000
C: 0.0000 0.0000 0.5000
C: 0.0000 0.5000 0.0000
C: 0.5000 0.0000 0.0000


The following is a DFT calculation (PBE) of an optimized crystal structure of NaSrSi2C.

Its theoretical density is 3.2 Mg/m³. The size of the total moment comes out at 0.00 μB/f.u. As for the space-group type: P4/mmm. The crystal system is tetragonal. Its formation energy from raw total energies is 0.670 eV per atom.

Cell: 4.2923 4.2923 5.0900 Å, 90.00 90.00 90.00°
Element x y z (fractional)
Na: 0.0000 0.0000 0.0000
Sr: 0.5000 0.5000 0.0000
Si: 0.0000 0.5000 0.5000
Si: 0.5000 0.0000 0.5000
C: 0.5000 0.5000 0.5000